## CaH4I (PBE)

Data for a relaxed CaH4I crystal.

Theoretical density   2.3 g cm⁻³
Magnetization   0.00 μB per formula unit
Final energy   -3.29 eV per atom

```
data_CaH4I
_symmetry_space_group_name_H-M 'P 1'
_symmetry_Int_Tables_number 1
_symmetry_space_group_name_Hall 'P 1'
_cell_length_a 7.786
_cell_length_b 15.787
_cell_length_c 7.259
_cell_angle_alpha 23.37
_cell_angle_beta 54.91
_cell_angle_gamma 46.59
loop_
_atom_site_label
_atom_site_type_symbol
_atom_site_fract_x
_atom_site_fract_y
_atom_site_fract_z
Ca1 Ca 0.749 0.875 0.238
Ca2 Ca 0.251 0.125 0.762
I1 I 0.785 0.357 0.325
I2 I 0.215 0.643 0.675
H1 H 0.549 0.976 0.556
H2 H 0.362 0.070 0.090
H3 H 0.451 0.024 0.444
H4 H 0.142 0.670 0.214
H5 H 0.041 0.722 0.102
H6 H 0.959 0.278 0.898
H7 H 0.638 0.930 0.910
H8 H 0.858 0.330 0.786
```

***

## La8NdAg2 (PBE)

Data for a relaxed La8NdAg2 crystal.

Theoretical density   6.7 g cm⁻³
Magnetization   0.00 μB per formula unit
Final energy   -4.59 eV per atom
Energy of formation from the pure elements   -0.06 eV per atom

```
data_La8NdAg2
_symmetry_space_group_name_H-M 'P 1'
_symmetry_Int_Tables_number 1
_symmetry_space_group_name_Hall 'P 1'
_cell_length_a 5.496
_cell_length_b 8.561
_cell_length_c 9.039
_cell_angle_alpha 113.92
_cell_angle_beta 107.70
_cell_angle_gamma 90.00
loop_
_atom_site_label
_atom_site_type_symbol
_atom_site_fract_x
_atom_site_fract_y
_atom_site_fract_z
La1 La 0.950 0.259 0.901
La2 La 0.606 0.473 0.211
La3 La 0.691 0.967 0.382
La4 La 0.309 0.033 0.618
La5 La 0.845 0.781 0.690
La6 La 0.394 0.527 0.789
La7 La 0.155 0.219 0.310
La8 La 0.050 0.741 0.099
Ag1 Ag 0.788 0.368 0.576
Ag2 Ag 0.212 0.632 0.424
Nd1 Nd 0.500 0.000 0.000
```

***

## AcPuSiGe (PBE)

Data for a relaxed AcPuSiGe crystal.

ΔE_f (raw)   -276 meV/atom
Theoretical density   9.3 g cm⁻³
Magnetization   5.79 μB per formula unit
Final energy   -7.40 eV per atom

```
data_AcPuSiGe
_symmetry_space_group_name_H-M 'P 1'
_symmetry_Int_Tables_number 1
_symmetry_space_group_name_Hall 'P 1'
_cell_length_a 5.249
_cell_length_b 5.249
_cell_length_c 5.249
_cell_angle_alpha 60.00
_cell_angle_beta 60.00
_cell_angle_gamma 60.00
loop_
_atom_site_label
_atom_site_type_symbol
_atom_site_fract_x
_atom_site_fract_y
_atom_site_fract_z
Ac1 Ac 0.000 0.000 0.000
Pu1 Pu 0.500 0.500 0.500
Ge1 Ge 0.750 0.750 0.750
Si1 Si 0.250 0.250 0.250
```